Entry 1:
! La2Tm3Tc2 PBE optimized geometry; values from VASP
&SYSTEM
  ibrav = 0, nat = 7, ntyp = 3
/
ATOMIC_SPECIES
La 138.91 La.upf
Tm 168.93 Tm.upf
Tc 98.00 Tc.upf
ATOMIC_POSITIONS crystal
La 0.348 0.635 0.159
La 0.652 0.365 0.841
Tm 0.000 0.000 0.000
Tm 0.749 0.238 0.416
Tm 0.251 0.762 0.584
Tc 0.676 0.903 0.741
Tc 0.324 0.097 0.259
CELL_PARAMETERS angstrom
3.385 0.048 0.881
-0.800 9.608 3.648
0.125 1.764 6.623
! electronic total energy = -6.2493 eV/atom
! E_form = 0.037 eV per atom
! DOS(E_F) = 0.9090 states/eV per atom
! space-group type = No. 2

=====

Entry 2:
! K2ScRh PBE optimized geometry; values from VASP
&SYSTEM
  ibrav = 0, nat = 4, ntyp = 3
/
ATOMIC_SPECIES
K 39.10 K.upf
Rh 102.91 Rh.upf
Sc 44.96 Sc.upf
ATOMIC_POSITIONS crystal
K 0.902 0.902 0.092
K 0.598 0.598 0.408
Rh 0.250 0.250 0.250
Sc 0.750 0.750 0.750
CELL_PARAMETERS angstrom
10.887 0.030 -0.101
10.323 3.459 -0.101
0.749 0.123 3.811
! electronic total energy = -4.0074 eV/atom
! E_form = -0.038 eV per atom
! DOS(E_F) = 0.3351 states/eV per atom
! energy above the lowest structure with this stoichiometry = 0 kJ/mol of formula units
! space-group type = No. 12

=====

Entry 3:
! Ac2MgCd3Ag12 PBE optimized geometry; values from VASP
&SYSTEM
  ibrav = 0, nat = 18, ntyp = 4
/
ATOMIC_SPECIES
Ac 227.00 Ac.upf
Mg 24.30 Mg.upf
Cd 112.41 Cd.upf
Ag 107.87 Ag.upf
ATOMIC_POSITIONS crystal
Ac 0.602 0.602 0.602
Ac 0.398 0.398 0.398
Mg 0.000 0.000 0.000
Cd 0.500 0.000 0.000
Cd 0.000 0.500 0.000
Cd 0.000 0.000 0.500
Ag 0.382 0.382 0.984
Ag 0.852 0.852 0.347
Ag 0.347 0.852 0.852
Ag 0.984 0.382 0.382
Ag 0.852 0.347 0.852
Ag 0.382 0.984 0.382
Ag 0.618 0.618 0.016
Ag 0.148 0.148 0.653
Ag 0.653 0.148 0.148
Ag 0.016 0.618 0.618
Ag 0.148 0.653 0.148
Ag 0.618 0.016 0.618
CELL_PARAMETERS angstrom
8.227 -0.623 -0.442
3.521 7.461 -0.442
3.521 2.049 7.188
! electronic total energy = -2.4349 eV/atom
! E_form = 0.164 eV per atom
! DOS(E_F) = 0.3592 states/eV per atom
! space-group type = No. 166

=====

Entry 4:
! KZnTc3 PBE optimized geometry; values from VASP
&SYSTEM
  ibrav = 0, nat = 5, ntyp = 3
/
ATOMIC_SPECIES
K 39.10 K.upf
Zn 65.41 Zn.upf
Tc 98.00 Tc.upf
ATOMIC_POSITIONS crystal
K 0.000 0.000 0.000
Zn 0.500 0.500 0.500
Tc 0.000 0.500 0.000
Tc 0.000 0.000 0.500
Tc 0.500 0.000 0.000
CELL_PARAMETERS angstrom
4.522 0.000 0.000
0.000 4.522 0.000
0.000 0.000 4.522
! electronic total energy = -3.6641 eV/atom
! E_form = 3.030 eV per atom
! DOS(E_F) = 1.2504 states/eV per atom
! energy above the lowest structure with this stoichiometry = 523 kJ/mol of formula units
! space-group type = No. 221

=====

Entry 5:
! BeAlOs2 PBE optimized geometry; values from VASP
&SYSTEM
  ibrav = 0, nat = 8, ntyp = 3
/
ATOMIC_SPECIES
Be 9.01 Be.upf
Os 190.23 Os.upf
Al 26.98 Al.upf
ATOMIC_POSITIONS crystal
Be 0.500 0.500 0.000
Be 0.250 0.750 0.500
Os 0.554 0.125 0.250
Os 0.196 0.625 0.250
Os 0.375 0.446 0.750
Os 0.875 0.804 0.750
Al 0.000 0.000 0.000
Al 0.750 0.250 0.500
CELL_PARAMETERS angstrom
3.859 0.000 0.000
0.000 3.859 0.000
1.929 1.929 8.319
! electronic total energy = -7.0395 eV/atom
! E_form = 0.443 eV per atom
! DOS(E_F) = 0.8371 states/eV per atom
! space-group type = No. 122

=====

Entry 6:
! Tl2CdHgF6 PBE optimized geometry; values from VASP
&SYSTEM
  ibrav = 0, nat = 20, ntyp = 4
/
ATOMIC_SPECIES
Tl 204.38 Tl.upf
Cd 112.41 Cd.upf
Hg 200.59 Hg.upf
F 19.00 F.upf
ATOMIC_POSITIONS crystal
Tl 0.008 0.968 0.250
Tl 0.508 0.532 0.750
Tl 0.992 0.032 0.750
Tl 0.492 0.468 0.250
Cd 0.500 0.000 0.500
Cd 0.000 0.500 0.000
Hg 0.500 0.000 0.000
Hg 0.000 0.500 0.500
F 0.281 0.711 0.041
F 0.781 0.789 0.541
F 0.719 0.289 0.959
F 0.219 0.211 0.459
F 0.291 0.719 0.457
F 0.791 0.781 0.957
F 0.709 0.281 0.543
F 0.209 0.219 0.043
F 0.921 0.521 0.246
F 0.421 0.979 0.746
F 0.079 0.479 0.754
F 0.579 0.021 0.254
CELL_PARAMETERS angstrom
6.379 0.000 -0.020
0.000 6.400 0.000
0.029 0.000 9.005
! electronic total energy = -3.5336 eV/atom
! E_form (uncorrected) = -18.16 eV/f.u.
! DOS(E_F) = 0.0000 states/eV per atom
! space-group type = No. 14

=====

Entry 7:
! Dy2Er2Cd PBE optimized geometry; values from VASP
&SYSTEM
  ibrav = 0, nat = 10, ntyp = 3
/
ATOMIC_SPECIES
Dy 162.50 Dy.upf
Er 167.26 Er.upf
Cd 112.41 Cd.upf
ATOMIC_POSITIONS crystal
Dy 0.423 0.923 0.846
Dy 0.673 0.673 0.346
Dy 0.327 0.327 0.654
Dy 0.077 0.577 0.154
Er 0.824 0.824 0.647
Er 0.574 0.074 0.147
Er 0.926 0.426 0.853
Er 0.176 0.176 0.353
Cd 0.500 0.500 0.000
Cd 0.250 0.750 0.500
CELL_PARAMETERS angstrom
5.038 0.000 0.000
0.000 5.038 0.000
-2.519 -2.519 12.429
! electronic total energy = -3.7842 eV/atom
! E_form = 0.065 eV per atom
! DOS(E_F) = 2.0212 states/eV per atom
! energy above the lowest structure with this stoichiometry = 84 kJ/mol of formula units
! space-group type = No. 141

=====

Entry 8:
! AlTl2GaS PBE optimized geometry; values from VASP
&SYSTEM
  ibrav = 0, nat = 5, ntyp = 4
/
ATOMIC_SPECIES
Tl 204.38 Tl.upf
S 32.06 S.upf
Ga 69.72 Ga.upf
Al 26.98 Al.upf
ATOMIC_POSITIONS crystal
Tl 0.000 0.000 0.500
Tl 0.500 0.000 0.000
S 0.000 0.000 0.000
Ga 0.500 0.500 0.500
Al 0.000 0.500 0.000
CELL_PARAMETERS angstrom
5.952 0.000 0.000
0.000 4.539 0.000
0.000 0.000 5.952
! electronic total energy = -2.8522 eV/atom
! E_form (uncorrected) = 1.37 eV/f.u.
! DOS(E_F) = 0.6107 states/eV per atom
! space-group type = No. 123

=====

Entry 9:
! CsZnAsI6 PBE optimized geometry; values from VASP
&SYSTEM
  ibrav = 0, nat = 9, ntyp = 4
/
ATOMIC_SPECIES
Cs 132.91 Cs.upf
Zn 65.41 Zn.upf
As 74.92 As.upf
I 126.90 I.upf
ATOMIC_POSITIONS crystal
Cs 0.000 0.000 0.000
Zn 0.333 0.333 0.500
As 0.667 0.667 0.500
I 0.003 0.366 0.313
I 0.366 0.003 0.687
I 0.631 0.367 0.687
I 0.003 0.631 0.687
I 0.366 0.631 0.313
I 0.631 0.003 0.313
CELL_PARAMETERS angstrom
-4.893 -5.596 -0.393
-0.650 -3.942 -6.281
6.213 -5.636 2.896
! electronic total energy = -2.3478 eV/atom
! E_form (uncorrected) = -5.05 eV/f.u.
! DOS(E_F) = 0.0000 states/eV per atom
! space-group type = No. 149

=====

Entry 10:
! K2Cd4Bi3Sb PBE optimized geometry; values from VASP
&SYSTEM
  ibrav = 0, nat = 10, ntyp = 4
/
ATOMIC_SPECIES
K 39.10 K.upf
Cd 112.41 Cd.upf
Bi 208.98 Bi.upf
Sb 121.76 Sb.upf
ATOMIC_POSITIONS crystal
K 0.500 0.000 0.255
K 0.000 0.500 0.745
Cd 0.500 0.500 0.000
Cd 0.000 0.000 0.000
Cd 0.500 0.000 0.628
Cd 0.000 0.500 0.372
Bi 0.000 0.000 0.500
Bi 0.500 0.000 0.869
Bi 0.000 0.500 0.131
Sb 0.500 0.500 0.500
CELL_PARAMETERS angstrom
5.235 0.000 0.000
0.000 5.235 0.000
0.000 0.000 12.133
! electronic total energy = -2.3699 eV/atom
! E_form (uncorrected) = -2.08 eV/f.u.
! DOS(E_F) = 0.2268 states/eV per atom
! space-group type = No. 115

=====

Entry 11:
! K2AlP PBE optimized geometry; values from VASP
&SYSTEM
  ibrav = 0, nat = 4, ntyp = 3
/
ATOMIC_SPECIES
P 30.97 P.upf
K 39.10 K.upf
Al 26.98 Al.upf
ATOMIC_POSITIONS crystal
P 0.250 0.250 0.250
K 0.991 0.991 0.991
K 0.509 0.509 0.509
Al 0.750 0.750 0.750
CELL_PARAMETERS angstrom
11.337 -0.037 -0.022
10.823 3.377 -0.022
10.823 1.631 2.957
! electronic total energy = -2.3785 eV/atom
! E_form = 0.458 eV per atom
! DOS(E_F) = 1.3371 states/eV per atom
! energy above the lowest structure with this stoichiometry = 268 kJ/mol of formula units
! space-group type = No. 166

=====

Entry 12:
! LiPO2 PBE optimized geometry; values from VASP
&SYSTEM
  ibrav = 0, nat = 8, ntyp = 3
/
ATOMIC_SPECIES
P 30.97 P.upf
O 16.00 O.upf
Li 6.94 Li.upf
ATOMIC_POSITIONS crystal
P 0.000 0.000 0.000
P 0.750 0.250 0.500
O 0.660 0.125 0.250
O 0.090 0.625 0.250
O 0.375 0.340 0.750
O 0.875 0.910 0.750
Li 0.500 0.500 0.000
Li 0.250 0.750 0.500
CELL_PARAMETERS angstrom
-4.004 -1.091 1.340
1.357 0.108 4.143
-2.558 4.377 3.019
! electronic total energy = -5.4226 eV/atom
! E_form (uncorrected) = -4.45 eV/f.u.
! DOS(E_F) = 0.1443 states/eV per atom
! space-group type = No. 122